# PrDyEr2Sc2 (GGA-PBE, relaxed)
# **ΔH_f (0 K)**: 0.28 eV/atom
# **Energy**: -58.967 eV for the cell shown
# **Magnetization**: 0.00 μB per formula unit
# **Crystal system**: orthorhombic
data_PrDyEr2Sc2
_space_group_name_H-M_alt 'P n n m'
_space_group_IT_number 58
_space_group_name_Hall '-P 2 2n'
_cell_length_a 6.266
_cell_length_b 17.424
_cell_length_c 3.347
_cell_angle_alpha 90.00
_cell_angle_beta 90.00
_cell_angle_gamma 90.00
loop_
_atom_site_label
_atom_site_type_symbol
_atom_site_fract_x
_atom_site_fract_y
_atom_site_fract_z
Pr1 Pr 0.000 0.000 0.000
Dy1 Dy 0.000 0.500 0.000
Er1 Er 0.216 0.193 0.000
Sc1 Sc 0.214 0.354 0.500